No. 1
This record from the Alexandria database describes an optimized crystal structure of TlZnGePd2. The functional is PBE.

Results
Density: 7.64 Mg/m³
Formation energy: 0.3682 eV per atom

Cell and atoms, written as CIF:
```
data_TlZnGePd2
_chemical_formula_sum 'Tl1 Zn1 Ge1 Pd2'
_symmetry_space_group_name_H-M 'P 4/m m m'
_symmetry_Int_Tables_number 123
_symmetry_space_group_name_Hall '-P 4 2'
_cell_length_a 4.719
_cell_length_b 4.719
_cell_length_c 5.419
_cell_angle_alpha 90.00
_cell_angle_beta 90.00
_cell_angle_gamma 90.00
loop_
_atom_site_label
_atom_site_fract_x
_atom_site_fract_y
_atom_site_fract_z
Tl1 0.000 0.000 0.000
Zn1 0.500 0.500 0.000
Ge1 0.000 0.000 0.500
Pd1 0.000 0.500 0.500
```

---

No. 2
This record from the Alexandria database describes an optimized crystal structure of Li2Zn8Fe. The functional is PBE.

Results
Density: 6.02 Mg/m³
Formation energy: -0.0001 eV per atom

Cell and atoms, written as CIF:
```
data_Li2Zn8Fe
_chemical_formula_sum 'Li2 Zn8 Fe1'
_symmetry_space_group_name_H-M 'P 1'
_symmetry_Int_Tables_number 1
_symmetry_space_group_name_Hall 'P 1'
_cell_length_a 2.658
_cell_length_b 6.891
_cell_length_c 9.590
_cell_angle_alpha 70.00
_cell_angle_beta 82.41
_cell_angle_gamma 89.72
loop_
_atom_site_label
_atom_site_fract_x
_atom_site_fract_y
_atom_site_fract_z
Li1 0.000 0.000 0.000
Li2 0.410 0.551 0.188
Zn1 0.012 0.402 0.982
Zn2 0.158 0.048 0.688
Zn3 0.250 0.503 0.500
Zn4 0.398 0.149 0.206
Zn5 0.564 0.741 0.876
Zn6 0.621 0.353 0.757
Zn7 0.789 0.199 0.431
Zn8 0.846 0.810 0.311
Fe1 0.704 0.776 0.594
```

---

No. 3
This record from the Alexandria database describes an optimized crystal structure of PmTmOs. The functional is PBE.

Results
Distance to the lowest polymorph of the same formula: 179 meV/atom
Density: 11.67 Mg/m³
Formation energy: -0.0036 eV per atom

Cell and atoms, written as CIF:
```
data_PmTmOs
_chemical_formula_sum 'Pm4 Tm4 Os4'
_symmetry_space_group_name_H-M 'C m c m'
_symmetry_Int_Tables_number 63
_symmetry_space_group_name_Hall '-C 2c 2'
_cell_length_a 3.872
_cell_length_b 14.196
_cell_length_c 5.219
_cell_angle_alpha 90.00
_cell_angle_beta 90.00
_cell_angle_gamma 90.00
loop_
_atom_site_label
_atom_site_fract_x
_atom_site_fract_y
_atom_site_fract_z
Pm1 0.000 0.065 0.250
Tm1 0.000 0.233 0.750
Os1 0.000 0.400 0.250
```

---

Among the records above, which one has the lowest density? Li2Zn8Fe

---

What did the third record say?
This record from the Alexandria database describes an optimized crystal structure of PmTmOs. The functional is PBE.

Results
Distance to the lowest polymorph of the same formula: 179 meV/atom
Density: 11.67 Mg/m³
Formation energy: -0.0036 eV per atom

Cell and atoms, written as CIF:
```
data_PmTmOs
_chemical_formula_sum 'Pm4 Tm4 Os4'
_symmetry_space_group_name_H-M 'C m c m'
_symmetry_Int_Tables_number 63
_symmetry_space_group_name_Hall '-C 2c 2'
_cell_length_a 3.872
_cell_length_b 14.196
_cell_length_c 5.219
_cell_angle_alpha 90.00
_cell_angle_beta 90.00
_cell_angle_gamma 90.00
loop_
_atom_site_label
_atom_site_fract_x
_atom_site_fract_y
_atom_site_fract_z
Pm1 0.000 0.065 0.250
Tm1 0.000 0.233 0.750
Os1 0.000 0.400 0.250
```

---

Which value of density does entry 2 give? 6.02 Mg/m³